First-principles (PBE) data for a relaxed NaCe2Pu3Te6 crystal, as listed in Alexandria via LeMat-Bulk. Values from VASP.

## Properties
DOS at the Fermi energy ... 47.8 states/eV/cell
Symmetry ... C2/m (12)
Formation energy from raw total energies ... -14.0 eV per formula unit
Volume ... 31.80 Å³/atom
Total energy ... -7.42 eV/atom

The structure in Quantum ESPRESSO input format:
```
&SYSTEM
  ibrav = 0, nat = 12, ntyp = 4
/
ATOMIC_SPECIES
Na 22.99 Na.upf
Ce 140.12 Ce.upf
Pu 244.00 Pu.upf
Te 127.60 Te.upf
ATOMIC_POSITIONS angstrom
Na -0.586 -1.443 -1.586
Ce -7.275 -2.718 2.044
Ce -3.372 -0.653 1.840
Pu -1.268 -4.618 1.554
Pu -6.626 0.461 -1.087
Pu -4.021 -3.832 4.971
Te -7.030 -2.888 5.224
Te -4.259 -3.715 1.838
Te -3.617 -0.482 -1.340
Te -0.348 -1.609 1.593
Te -10.299 -1.761 2.291
Te -6.388 0.344 2.046
CELL_PARAMETERS angstrom
-1.172 -2.885 -3.172
-1.364 -6.350 6.280
-8.111 5.865 0.776
```